An optimized crystal structure of NaAlP2Pb, computed with PBE-GGA.

**SG**: P4/mmm, No. 123
**Formation energy from the elements**: 462 kJ/mol of formula units
**Theoretical density**: 3.4 Mg/m³
**N(E_F)**: 3.40 states/eV/cell

```
5
Lattice="5.293 0.000 0.000 0.000 5.293 0.000 0.000 0.000 5.495" Properties=species:S:1:pos:R:3 pbc="T T T"
Na 0.000 0.000 0.000
Al 2.646 2.646 0.000
P 0.000 2.646 2.748
P 2.646 0.000 2.748
Pb 0.000 0.000 2.748
```